Density functional theory data (PBE-GGA) for LaZr3Ag after structural relaxation.

Lattice parameters (Å, degrees): 5.2548 5.2548 5.2548 90.00 90.00 90.00
Space group Pm-3m (No. 221)
Asymmetric unit:
La  0.0000  0.0000  0.0000 x1
Zr  0.0000  0.5000  0.5000 x3
Ag  0.5000  0.5000  0.5000 x1

- calculated formation energy (kJ/mol of formula units) = 335
- offset from the most stable computed form (meV/atom) = 0

Density functional theory data (PBE-GGA) for La3Cd5F12 after structural relaxation.

Lattice parameters (Å, degrees): 14.6266 14.6266 14.6266 90.00 90.00 90.00
Space group Ia-3d (No. 230)
Asymmetric unit:
La  0.0000  0.2500  0.1250 x24
Cd  0.0000  0.0000  0.0000 x16
Cd  0.0000  0.2500  0.3750 x24
F  0.0105  0.0904  0.6413 x96

- total DFT energy (no corrections) (eV/atom) = -4.662

Density functional theory data (PBE-GGA) for Pr3Nd6Sc after structural relaxation.

Lattice parameters (Å, degrees): 11.1444 19.2955 6.4685 90.00 90.00 90.00
Space group Cmc2_1 (No. 36)
Asymmetric unit:
Pr  0.0000  0.1191  0.0000 x4
Pr  0.1696  0.3840  0.6175 x8
Nd  0.0000  0.2224  0.4422 x4
Nd  0.0000  0.4598  0.1927 x4
Nd  0.1671  0.0422  0.5178 x8
Nd  0.2444  0.2093  0.7025 x8
Sc  0.0000  0.3031  0.9578 x4

- calculated formation energy (kJ/mol of formula units) = 131
- offset from the most stable computed form (meV/atom) = 0

Density functional theory data (PBE-GGA) for Li3Pr3PaS8 after structural relaxation.

Lattice parameters (Å, degrees): 8.2051 8.2051 18.4873 90.00 90.00 120.00
Space group R-3m (No. 166, hexagonal axes)
Asymmetric unit:
Li  0.0000  0.5000  0.0000 x9
Pr  0.0000  0.5000  0.5000 x9
Pa  0.0000  0.0000  0.5000 x3
S  0.0000  0.0000  0.2530 x6
S  0.0188  0.5094  0.2492 x18

- total DFT energy (no corrections) (eV/atom) = -5.897

Density functional theory data (PBE-GGA) for MnIn2Br after structural relaxation.

Lattice parameters (Å, degrees): 7.5165 7.5165 7.5165 90.00 90.00 90.00
Space group Fm-3m (No. 225)
Asymmetric unit:
Mn  0.0000  0.0000  0.0000 x4
In  0.2500  0.2500  0.2500 x8
Br  0.0000  0.0000  0.5000 x4

- offset from the most stable computed form (meV/atom) = 327

Density functional theory data (PBE-GGA) for Cs3SmDy2Se6 after structural relaxation.

Lattice parameters (Å, degrees): 7.4399 12.8864 8.7420 90.00 106.48 90.00
Space group C2/m (No. 12)
Asymmetric unit:
Cs  0.0000  0.0000  0.0000 x2
Cs  0.0000  0.3345  0.0000 x4
Sm  0.0000  0.5000  0.5000 x2
Dy  0.0000  0.1668  0.5000 x4
Se  0.2236  0.0000  0.6861 x4
Se  0.2314  0.3308  0.6866 x8

- total DFT energy (no corrections) (eV/atom) = -4.844

Density functional theory data (PBE-GGA) for SmY6In5 after structural relaxation.

Lattice parameters (Å, degrees): 5.0185 8.7398 15.1864 90.00 90.00 90.00
Space group Immm (No. 71)
Asymmetric unit:
Sm  0.0000  0.0000  0.0000 x2
Y  0.0000  0.2263  0.5000 x4
Y  0.0000  0.2641  0.1701 x8
In  0.0000  0.0000  0.3221 x4
In  0.0000  0.5000  0.0000 x2
In  0.0000  0.5000  0.3484 x4

- calculated formation energy (kJ/mol of formula units) = -473

Density functional theory data (PBE-GGA) for BaHg2Mo after structural relaxation.

Lattice parameters (Å, degrees): 8.3813 4.8386 6.5670 90.00 115.09 90.00
Space group C2/m (No. 12)
Asymmetric unit:
Ba  0.0000  0.0000  0.0000 x2
Hg  0.2068  0.0000  0.6206 x4
Mo  0.0000  0.5000  0.5000 x2

- calculated formation energy (kJ/mol of formula units) = 141
- offset from the most stable computed form (meV/atom) = 0

Across the entries above, calculated volume takes the values 29.02; 19.56; 34.77; 23.95; 26.54; 33.49; 27.75; 30.15 Å³ per atom, respectively.